Record 1
{"formula": "PmCdAg2", "functional": "PBE", "state": "relaxed", "sg": "Fm-3m, No. 225", "e_form_ev_per_atom": -0.2656, "e_above_lowest_polymorph_mev_per_atom": 0, "n_ef_per_ev_cell": 4.50, "cell": [[-1.594, -4.720, 0.677], [-0.862, -2.957, -3.974], [3.074, -3.857, -0.978]], "species": ["Cd", "Ag", "Ag", "Pm"], "frac_coords": [[0.500, 0.500, 0.500], [0.250, 0.250, 0.250], [0.750, 0.750, 0.750], [0.000, 0.000, 0.000]]}

=====

Record 2
{"formula": "TaVAg2", "functional": "PBE", "state": "relaxed", "sg": "I-42d, No. 122", "e_form_ev_per_atom": 0.8845, "n_ef_per_ev_cell": 7.37, "cell": [[7.453, 0.000, 0.000], [0.000, 7.453, 0.000], [3.727, 3.727, 2.608]], "species": ["Ta", "Ta", "Ag", "Ag", "Ag", "Ag", "V", "V"], "frac_coords": [[0.000, 0.000, 0.000], [0.750, 0.250, 0.500], [0.609, 0.125, 0.250], [0.141, 0.625, 0.250], [0.375, 0.391, 0.750], [0.875, 0.859, 0.750], [0.500, 0.500, 0.000], [0.250, 0.750, 0.500]]}

=====

Record 3
{"formula": "AlGa2Te6Au", "functional": "PBE", "state": "relaxed", "sg": "C2/c, No. 15", "e_form_raw_ev_per_atom": -0.18, "cell": [[7.515, 0.396, 0.411], [2.934, 9.806, -0.396], [2.934, -0.759, 9.784]], "species": ["Al", "Al", "Ga", "Ga", "Ga", "Ga", "Te", "Te", "Te", "Te", "Te", "Te", "Te", "Te", "Te", "Te", "Te", "Te", "Au", "Au"], "frac_coords": [[0.250, 0.151, 0.849], [0.750, 0.849, 0.151], [0.369, 0.778, 0.587], [0.131, 0.413, 0.222], [0.631, 0.222, 0.413], [0.869, 0.587, 0.778], [0.122, 0.943, 0.822], [0.378, 0.178, 0.057], [0.878, 0.057, 0.178], [0.622, 0.822, 0.943], [0.397, 0.908, 0.364], [0.103, 0.636, 0.092], [0.603, 0.092, 0.636], [0.897, 0.364, 0.908], [0.098, 0.666, 0.551], [0.402, 0.449, 0.334], [0.902, 0.334, 0.449], [0.598, 0.551, 0.666], [0.250, 0.776, 0.224], [0.750, 0.224, 0.776]]}

=====

Record 4
{"formula": "Pr3Ho5Tm3", "functional": "PBE", "state": "relaxed", "sg": "P-62m, No. 189", "e_form_ev_per_atom": 0.8171, "n_ef_per_ev_cell": 14.96, "cell": [[5.330, 0.000, 0.000], [0.000, 9.678, 0.000], [0.000, -4.839, 8.381]], "species": ["Pr", "Pr", "Pr", "Ho", "Ho", "Ho", "Ho", "Ho", "Tm", "Tm", "Tm"], "frac_coords": [[0.500, 0.634, 0.634], [0.500, 0.000, 0.366], [0.500, 0.366, 0.000], [0.500, 0.333, 0.667], [0.500, 0.667, 0.333], [0.500, 0.261, 0.261], [0.500, 0.000, 0.739], [0.500, 0.739, 0.000], [0.000, 0.454, 0.454], [0.000, 0.546, 0.000], [0.000, 0.000, 0.546]]}